Entry 1:
A relaxed structure of LiPrLuGe, computed with PBE.

Structure (extended XYZ):
```
4
Lattice="-0.920 0.598 -4.965 -3.125 -3.205 -2.411 -4.566 1.597 -1.565" Properties=species:S:1:pos:R:3 pbc="T T T"
Ge -2.153 -0.253 -2.235
Pr -4.305 -0.505 -4.470
Li -6.458 -0.758 -6.705
Lu 0.000 0.000 0.000
```

Computed properties:
- SG = F-43m, No. 216
- crystal system = cubic
- DFT total energy (eV per atom) = -4.34
- ΔH_f (0 K) (kJ/mol of formula units) = -146

Entry 2:
A relaxed structure of LiLuGePt, computed with PBE.

Structure (extended XYZ):
```
4
Lattice="4.561 0.000 0.000 2.280 3.950 0.000 2.280 1.317 3.724" Properties=species:S:1:pos:R:3 pbc="T T T"
Pt 4.561 2.633 1.862
Li 0.000 0.000 0.000
Lu 6.841 3.950 2.793
Ge 2.280 1.317 0.931
```

Computed properties:
- SG = F-43m, No. 216
- crystal system = cubic
- DFT total energy (eV per atom) = -5.13
- ΔH_f (0 K) (kJ/mol of formula units) = -331

Entry 3:
A relaxed structure of LiLuPuGe, computed with PBE.

Structure (extended XYZ):
```
4
Lattice="4.996 0.000 0.000 2.498 4.327 0.000 2.498 1.442 4.079" Properties=species:S:1:pos:R:3 pbc="T T T"
Pu 4.996 2.885 2.040
Ge 2.498 1.442 1.020
Li 7.494 4.327 3.060
Lu 0.000 0.000 0.000
```

Computed properties:
- SG = F-43m, No. 216
- crystal system = cubic
- DFT total energy (eV per atom) = -6.56
- ΔH_f (0 K) (kJ/mol of formula units) = -84

Entry 4:
A relaxed structure of LiLuGeRh, computed with PBE.

Structure (extended XYZ):
```
4
Lattice="-1.057 2.071 3.876 -0.009 -2.326 3.876 3.200 0.762 3.101" Properties=species:S:1:pos:R:3 pbc="T T T"
Rh 1.600 0.380 8.140
Li 0.533 0.127 2.713
Lu 0.000 0.000 0.000
Ge 1.067 0.254 5.427
```

Computed properties:
- SG = F-43m, No. 216
- crystal system = cubic
- DFT total energy (eV per atom) = -5.28
- ΔH_f (0 K) (kJ/mol of formula units) = -261

Entry 5:
A relaxed structure of LiLuSnGe, computed with PBE.

Structure (extended XYZ):
```
4
Lattice="4.987 0.000 0.000 2.493 4.319 0.000 2.493 1.440 4.072" Properties=species:S:1:pos:R:3 pbc="T T T"
Li 4.987 2.879 2.036
Lu 0.000 0.000 0.000
Ge 2.493 1.440 1.018
Sn 7.480 4.319 3.054
```

Computed properties:
- SG = F-43m, No. 216
- crystal system = cubic
- DFT total energy (eV per atom) = -4.11
- ΔH_f (0 K) (kJ/mol of formula units) = -134

Entry 6:
A relaxed structure of LiTmLuGe, computed with PBE.

Structure (extended XYZ):
```
4
Lattice="4.932 0.000 0.000 2.466 4.271 0.000 2.466 1.424 4.027" Properties=species:S:1:pos:R:3 pbc="T T T"
Ge 0.000 0.000 0.000
Lu 2.466 1.424 1.007
Tm 7.397 4.271 3.020
Li 4.932 2.847 2.013
```

Computed properties:
- SG = F-43m, No. 216
- crystal system = cubic
- DFT total energy (eV per atom) = -4.25
- ΔH_f (0 K) (kJ/mol of formula units) = -141

Entry 7:
A relaxed structure of Li3MgGe, computed with PBE.

Structure (extended XYZ):
```
5
Lattice="-3.476 -1.224 3.063 3.268 -0.669 3.441 -0.451 4.584 1.320" Properties=species:S:1:pos:R:3 pbc="T T T"
Li 1.634 -0.335 1.720
Li -0.226 2.292 0.660
Li -1.738 -0.612 1.532
Ge 0.000 0.000 0.000
Mg -0.330 1.346 3.912
```

Computed properties:
- SG = Pm-3m, No. 221
- crystal system = cubic
- DFT total energy (eV per atom) = -2.33
- ΔH_f (0 K) (kJ/mol of formula units) = 29
- ΔE to the lowest computed polymorph (eV per atom) = 0.346

Entry 8:
A relaxed structure of LiMgGe, computed with PBE.

Structure (extended XYZ):
```
6
Lattice="-1.794 -1.549 3.604 2.978 -0.467 3.864 -1.169 5.066 4.178" Properties=species:S:1:pos:R:3 pbc="T T T"
Mg 1.273 0.802 6.142
Mg -1.258 2.247 5.503
Ge -0.724 1.931 8.215
Ge 0.739 1.118 3.431
Li -0.762 -0.826 4.429
Li 0.777 3.876 7.217
```

Computed properties:
- SG = C2/m, No. 12
- crystal system = monoclinic
- DFT total energy (eV per atom) = -2.94
- ΔH_f (0 K) (kJ/mol of formula units) = -67

Entry 9:
A relaxed structure of Li5MgGe, computed with PBE.

Structure (extended XYZ):
```
7
Lattice="5.601 0.000 0.000 0.000 5.589 0.000 -2.800 -2.794 5.191" Properties=species:S:1:pos:R:3 pbc="T T T"
Li 2.411 2.794 2.652
Li 2.343 1.041 0.000
Li 2.343 4.548 0.000
Li -0.390 0.000 2.539
Li 0.910 2.794 0.000
Mg 4.109 2.794 0.000
Ge 5.249 0.000 0.000
```

Computed properties:
- SG = Imm2, No. 44
- crystal system = orthorhombic
- DFT total energy (eV per atom) = -2.05
- ΔH_f (0 K) (kJ/mol of formula units) = 140

Entry 10:
A relaxed structure of LiMg3Ge, computed with PBE.

Structure (extended XYZ):
```
5
Lattice="4.835 0.000 0.000 0.000 4.835 0.000 0.000 0.000 4.835" Properties=species:S:1:pos:R:3 pbc="T T T"
Ge 2.417 2.417 2.417
Mg 2.417 0.000 0.000
Mg 0.000 0.000 2.417
Mg 0.000 2.417 0.000
Li 0.000 0.000 0.000
```

Computed properties:
- SG = Pm-3m, No. 221
- crystal system = cubic
- DFT total energy (eV per atom) = -1.86
- ΔH_f (0 K) (kJ/mol of formula units) = 197
- ΔE to the lowest computed polymorph (eV per atom) = 0.247

Entry 11:
A relaxed structure of Li3MgGe, computed with PBE.

Structure (extended XYZ):
```
10
Lattice="-2.546 -3.584 1.862 3.076 -3.704 -2.922 5.131 0.245 5.092" Properties=species:S:1:pos:R:3 pbc="T T T"
Li 5.212 -6.281 2.880
Li 4.443 -3.512 0.988
Li 1.219 -3.530 3.044
Li 0.450 -0.761 1.152
Li 1.826 -2.417 -0.155
Li 3.836 -4.624 4.187
Ge 6.039 -3.714 2.926
Ge -0.378 -3.327 1.106
Mg 4.010 -1.796 3.786
Mg 1.652 -5.245 0.246
```

Computed properties:
- SG = P2_1/m, No. 11
- crystal system = monoclinic
- DFT total energy (eV per atom) = -2.56
- ΔH_f (0 K) (kJ/mol of formula units) = -79
- ΔE to the lowest computed polymorph (eV per atom) = 0.121

Entry 12:
A relaxed structure of Li2MgGe2, computed with PBE.

Structure (extended XYZ):
```
5
Lattice="-2.766 1.407 3.077 2.761 -3.282 0.840 4.071 3.904 1.873" Properties=species:S:1:pos:R:3 pbc="T T T"
Ge 1.200 0.216 2.512
Ge 2.866 1.813 3.279
Mg 0.000 0.000 0.000
Li 3.878 -0.551 2.148
Li 0.188 2.580 3.642
```

Computed properties:
- SG = Cmmm, No. 65
- crystal system = orthorhombic
- DFT total energy (eV per atom) = -3.10
- ΔH_f (0 K) (kJ/mol of formula units) = -83
- ΔE to the lowest computed polymorph (eV per atom) = 0.054